Record 1
Crystalline KLiZr at its relaxed geometry, computed with PBE-GGA.

Computed properties:
**Final energy**: -7.54 eV for the cell shown
**ΔE to the lowest computed polymorph**: 783 meV/atom
**DFT formation energy**: 1341.3 meV/atom
**Magnetization**: 2.8 μB per formula unit

Geometry as CIF:
```
data_KLiZr
_chemical_formula_sum 'K1 Li1 Zr1'
_space_group_name_H-M_alt 'P 1'
_space_group_IT_number 1
_space_group_name_Hall 'P 1'
_cell_length_a 5.368
_cell_length_b 5.368
_cell_length_c 5.368
_cell_angle_alpha 60.00
_cell_angle_beta 60.00
_cell_angle_gamma 60.00
loop_
_atom_site_label
_atom_site_type_symbol
_atom_site_fract_x
_atom_site_fract_y
_atom_site_fract_z
K1 K 0.500 0.500 0.500
Li1 Li 0.750 0.750 0.750
Zr1 Zr 0.000 0.000 0.000
```


Record 2
Crystalline KLi2Zr at its relaxed geometry, computed with PBE-GGA.

Computed properties:
**Final energy**: -10.69 eV for the cell shown
**ΔE to the lowest computed polymorph**: 289 meV/atom
**DFT formation energy**: 696.5 meV/atom
**Magnetization**: 0.3 μB per formula unit

Geometry as CIF:
```
data_KLi2Zr
_chemical_formula_sum 'K1 Li2 Zr1'
_space_group_name_H-M_alt 'P 1'
_space_group_IT_number 1
_space_group_name_Hall 'P 1'
_cell_length_a 7.000
_cell_length_b 7.000
_cell_length_c 7.000
_cell_angle_alpha 155.04
_cell_angle_beta 124.16
_cell_angle_gamma 62.09
loop_
_atom_site_label
_atom_site_type_symbol
_atom_site_fract_x
_atom_site_fract_y
_atom_site_fract_z
K1 K 0.250 0.750 0.500
Li1 Li 0.977 0.977 0.000
Li2 Li 0.523 0.523 0.000
Zr1 Zr 0.750 0.250 0.500
```


Record 3
Crystalline K2LiZr at its relaxed geometry, computed with PBE-GGA.

Computed properties:
**Final energy**: -10.32 eV for the cell shown
**ΔE to the lowest computed polymorph**: 0 meV/atom
**DFT formation energy**: 583.8 meV/atom
**Magnetization**: 1.6 μB per formula unit

Geometry as CIF:
```
data_K2LiZr
_chemical_formula_sum 'K2 Li1 Zr1'
_space_group_name_H-M_alt 'P 1'
_space_group_IT_number 1
_space_group_name_Hall 'P 1'
_cell_length_a 3.511
_cell_length_b 3.514
_cell_length_c 11.777
_cell_angle_alpha 90.00
_cell_angle_beta 90.00
_cell_angle_gamma 90.00
loop_
_atom_site_label
_atom_site_type_symbol
_atom_site_fract_x
_atom_site_fract_y
_atom_site_fract_z
K1 K 0.000 0.000 0.957
K2 K 0.500 0.500 0.312
Li1 Li 0.000 0.000 0.540
Zr1 Zr 0.500 0.500 0.691
```